Below is a relaxed Zn4SbAs crystal, with properties calculated at the PBE level.

Unit cell a=7.147 b=7.147 c=7.025 alpha=108.37 beta=108.37 gamma=49.11
Sites, in units of the cell vectors:
Zn  0.102  0.169  0.130
Zn  0.169  0.102  0.630
Zn  0.329  0.397  0.868
Zn  0.397  0.329  0.368
Zn  0.603  0.671  0.632
Zn  0.671  0.603  0.132
Zn  0.831  0.898  0.370
Zn  0.898  0.831  0.870
Sb  0.251  0.749  0.250
Sb  0.749  0.251  0.750
As  0.000  0.500  0.500
As  0.500  0.000  0.000

## Properties
E_form (uncorrected) in meV per atom: 49
ρ in g/cm³: 5.98